# TbZrIrPd

An optimized crystal structure of TbZrIrPd (GGA-PBE, the Alexandria database).

Density ... 11591 kg/m3
Space group ... F-43m (216)
DFT formation energy ... -0.74 eV per atom

Geometry as POSCAR:
```
TbZrIrPd
1.0
-0.732 4.333 1.952
-3.912 0.801 2.679
0.421 0.599 4.753
Pd Zr Ir Tb
1 1 1 1
direct
0.500 0.500 0.500 Pd
0.250 0.250 0.250 Zr
0.000 0.000 0.000 Ir
0.750 0.750 0.750 Tb
```


# TcIr2Pd2

An optimized crystal structure of TcIr2Pd2 (GGA-PBE, the Alexandria database).

Density ... 14033 kg/m3
Energy relative to the lowest polymorph listed for this composition ... 132 meV per atom
Space group ... I4/mmm (139)
DFT formation energy ... 0.58 eV per atom

Geometry as POSCAR:
```
TcIr2Pd2
1.0
3.593 0.000 0.000
0.000 3.593 0.000
1.796 1.796 6.375
Ir Tc Pd
2 1 2
direct
0.595 0.595 0.810 Ir
0.405 0.405 0.190 Ir
0.000 0.000 0.000 Tc
0.250 0.750 0.500 Pd
0.750 0.250 0.500 Pd
```


# TcIr2Pd

An optimized crystal structure of TcIr2Pd (GGA-PBE, the Alexandria database).

Density ... 16627 kg/m3
Energy relative to the lowest polymorph listed for this composition ... 0 meV per atom
Space group ... P4/mmm (123)
DFT formation energy ... -0.09 eV per atom

Geometry as POSCAR:
```
TcIr2Pd
1.0
2.720 -0.323 0.055
0.322 2.720 0.055
-0.173 -0.136 7.832
Ir Tc Pd
2 1 1
direct
0.500 0.500 0.763 Ir
0.500 0.500 0.237 Ir
0.000 0.000 0.000 Tc
0.000 0.000 0.500 Pd
```


# TcIr6Pd

An optimized crystal structure of TcIr6Pd (GGA-PBE, the Alexandria database).

Density ... 19345 kg/m3
Space group ... P4/mmm (123)
DFT formation energy ... -0.05 eV per atom

Geometry as POSCAR:
```
TcIr6Pd
1.0
3.871 0.000 0.000
0.000 3.871 0.000
0.000 0.000 7.776
Pd Ir Tc
1 6 1
direct
0.000 0.000 0.000 Pd
0.500 0.500 0.000 Ir
0.500 0.000 0.257 Ir
0.500 0.500 0.500 Ir
0.500 0.000 0.743 Ir
0.000 0.500 0.743 Ir
0.000 0.500 0.257 Ir
0.000 0.000 0.500 Tc
```


# TcIrPd3

An optimized crystal structure of TcIrPd3 (GGA-PBE, the Alexandria database).

Density ... 9952 kg/m3
Energy relative to the lowest polymorph listed for this composition ... 100 meV per atom
Space group ... Pm-3m (221)
DFT formation energy ... 1.72 eV per atom

Geometry as POSCAR:
```
TcIrPd3
1.0
-3.625 -1.582 2.479
0.512 -4.214 -1.940
2.895 -1.235 3.447
Ir Tc Pd
1 1 3
direct
0.500 0.500 0.500 Ir
0.000 0.000 0.000 Tc
0.000 0.000 0.500 Pd
0.000 0.500 0.000 Pd
0.500 0.000 0.000 Pd
```


# Tc3IrPd

An optimized crystal structure of Tc3IrPd (GGA-PBE, the Alexandria database).

Density ... 10190 kg/m3
Space group ... Pm-3m (221)
DFT formation energy ... 2.35 eV per atom

Geometry as POSCAR:
```
Tc3IrPd
1.0
-0.921 -2.765 -3.543
-0.402 -3.552 2.876
-4.477 0.888 0.471
Tc Pd Ir
3 1 1
direct
0.000 0.500 0.000 Tc
0.000 0.000 0.500 Tc
0.500 0.000 0.000 Tc
0.000 0.000 0.000 Pd
0.500 0.500 0.500 Ir
```


# TcIr3Pd

An optimized crystal structure of TcIr3Pd (GGA-PBE, the Alexandria database).

Density ... 12798 kg/m3
Energy relative to the lowest polymorph listed for this composition ... 0 meV per atom
Space group ... Pm-3m (221)
DFT formation energy ... 1.72 eV per atom

Geometry as POSCAR:
```
TcIr3Pd
1.0
-1.475 -3.275 -2.973
3.100 1.470 -3.157
3.155 -2.975 1.712
Ir Tc Pd
3 1 1
direct
0.000 0.500 0.000 Ir
0.000 0.000 0.500 Ir
0.500 0.000 0.000 Ir
0.000 0.000 0.000 Tc
0.500 0.500 0.500 Pd
```


# TcIr2Pd2

An optimized crystal structure of TcIr2Pd2 (GGA-PBE, the Alexandria database).

Density ... 14173 kg/m3
Energy relative to the lowest polymorph listed for this composition ... 0 meV per atom
Space group ... P4/mbm (127)
DFT formation energy ... 0.45 eV per atom

Geometry as POSCAR:
```
TcIr2Pd2
1.0
6.449 0.000 0.000
0.000 6.449 0.000
0.000 0.000 3.917
Pd Ir Tc
4 4 2
direct
0.835 0.335 0.500 Pd
0.165 0.665 0.500 Pd
0.335 0.165 0.500 Pd
0.665 0.835 0.500 Pd
0.135 0.365 0.000 Ir
0.635 0.135 0.000 Ir
0.865 0.635 0.000 Ir
0.365 0.865 0.000 Ir
0.500 0.500 0.000 Tc
0.000 0.000 0.000 Tc
```


# TcIrPd2

An optimized crystal structure of TcIrPd2 (GGA-PBE, the Alexandria database).

Density ... 12700 kg/m3
Energy relative to the lowest polymorph listed for this composition ... 336 meV per atom
Space group ... I-42d (122)
DFT formation energy ... 0.74 eV per atom

Geometry as POSCAR:
```
TcIrPd2
1.0
7.107 0.000 0.000
0.000 7.107 0.000
3.553 3.553 2.605
Tc Ir Pd
2 2 4
direct
0.500 0.500 0.000 Tc
0.250 0.750 0.500 Tc
0.750 0.250 0.500 Ir
0.000 0.000 0.000 Ir
0.132 0.625 0.250 Pd
0.875 0.868 0.750 Pd
0.618 0.125 0.250 Pd
0.375 0.382 0.750 Pd
```


# Tc2IrPd2

An optimized crystal structure of Tc2IrPd2 (GGA-PBE, the Alexandria database).

Density ... 13029 kg/m3
Energy relative to the lowest polymorph listed for this composition ... 0 meV per atom
Space group ... P4/mbm (127)
DFT formation energy ... 0.49 eV per atom

Geometry as POSCAR:
```
Tc2IrPd2
1.0
7.404 0.000 0.000
0.000 7.404 0.000
0.000 0.000 2.795
Tc Pd Ir
4 4 2
direct
0.176 0.676 0.500 Tc
0.824 0.324 0.500 Tc
0.676 0.824 0.500 Tc
0.324 0.176 0.500 Tc
0.123 0.377 0.000 Pd
0.877 0.623 0.000 Pd
0.623 0.123 0.000 Pd
0.377 0.877 0.000 Pd
0.500 0.500 0.000 Ir
0.000 0.000 0.000 Ir
```


# TcIrPd3

An optimized crystal structure of TcIrPd3 (GGA-PBE, the Alexandria database).

Density ... 9121 kg/m3
Energy relative to the lowest polymorph listed for this composition ... 0 meV per atom
Space group ... Pm-3m (221)
DFT formation energy ... 1.62 eV per atom

Geometry as POSCAR:
```
TcIrPd3
1.0
-1.366 -0.925 4.513
1.337 -4.585 -0.535
4.409 1.103 1.561
Pd Ir Tc
3 1 1
direct
0.000 0.000 0.500 Pd
0.500 0.000 0.000 Pd
0.000 0.500 0.000 Pd
0.000 0.000 0.000 Ir
0.500 0.500 0.500 Tc
```


# Tc2IrPd2

An optimized crystal structure of Tc2IrPd2 (GGA-PBE, the Alexandria database).

Density ... 12313 kg/m3
Energy relative to the lowest polymorph listed for this composition ... 176 meV per atom
Space group ... I4/mmm (139)
DFT formation energy ... 0.67 eV per atom

Geometry as POSCAR:
```
Tc2IrPd2
1.0
3.477 0.000 0.000
0.000 3.477 0.000
1.739 1.739 6.704
Pd Ir Tc
2 1 2
direct
0.597 0.597 0.806 Pd
0.403 0.403 0.194 Pd
0.000 0.000 0.000 Ir
0.750 0.250 0.500 Tc
0.250 0.750 0.500 Tc
```